# 1
## V4Ru2C (PBE-GGA)

Data for V4Ru2C after structural relaxation.

Summary:
The value obtained for the calculated volume is 13.512 Å³ per atom. The calculation puts the formation energy at 0.0596 eV/atom. Its symmetry is I4/mmm, No. 139.

Cell and atoms, written as CIF:
```
data_V4Ru2C
_cell_length_a 3.901
_cell_length_b 3.901
_cell_length_c 6.799
_cell_angle_alpha 73.33
_cell_angle_beta 73.33
_cell_angle_gamma 90.00
_symmetry_space_group_name_H-M 'P 1'
_symmetry_Int_Tables_number 1
_symmetry_space_group_name_Hall 'P 1'
loop_
_atom_site_label
_atom_site_type_symbol
_atom_site_fract_x
_atom_site_fract_y
_atom_site_fract_z
V1 V 0.500 0.000 0.000
V2 V 0.830 0.830 0.340
V3 V 0.000 0.500 0.000
V4 V 0.170 0.170 0.660
Ru1 Ru 0.351 0.351 0.298
Ru2 Ru 0.649 0.649 0.702
C1 C 0.000 0.000 0.000
```

***

# 2
## CsMgHg2Cl8 (PBE-GGA)

Data for CsMgHg2Cl8 after structural relaxation.

Summary:
Its total energy is -2.49 eV/atom. The value obtained for the calculated volume is 30.303 Å³ per atom. Its symmetry is P-3, No. 147.

Cell and atoms, written as CIF:
```
data_CsMgHg2Cl8
_cell_length_a 6.599
_cell_length_b 6.599
_cell_length_c 9.641
_cell_angle_alpha 90.00
_cell_angle_beta 90.00
_cell_angle_gamma 120.00
_symmetry_space_group_name_H-M 'P 1'
_symmetry_Int_Tables_number 1
_symmetry_space_group_name_Hall 'P 1'
loop_
_atom_site_label
_atom_site_type_symbol
_atom_site_fract_x
_atom_site_fract_y
_atom_site_fract_z
Hg1 Hg 0.667 0.333 0.283
Hg2 Hg 0.333 0.667 0.717
Cl1 Cl 0.967 0.287 0.657
Cl2 Cl 0.320 0.033 0.657
Cl3 Cl 0.667 0.333 0.018
Cl4 Cl 0.680 0.967 0.343
Cl5 Cl 0.333 0.667 0.982
Cl6 Cl 0.713 0.680 0.657
Cl7 Cl 0.033 0.713 0.343
Cl8 Cl 0.287 0.320 0.343
Cs1 Cs 0.000 0.000 0.000
Mg1 Mg 0.000 0.000 0.500
```

***

Number 2 is which compound?
CsMgHg2Cl8

***

Look up the calculated volume of the first one.
13.512 Å³ per atom

***

calculated volume of number 2 (CsMgHg2Cl8)?
30.303 Å³ per atom

***

Which value of calculated volume does entry 2 give?
30.303 Å³ per atom